No. 1
# Sr2ZrTa

Sr2ZrTa after structural relaxation (PBE-GGA, Alexandria via LeMat-Bulk).

Cell lengths 9.0444, 9.0444, 7.0774 Å; angles 50.29, 50.29, 90.00 degrees
Last column: nearest neighbours and their distance in Å.
Positions (direct):
Sr: 0.6425 0.1250 0.2500  2 Sr 3.05, 2 Ta 3.18, 2 Zr 3.40
Sr: 0.1075 0.6250 0.2500  2 Sr 3.05, 2 Ta 3.18, 2 Zr 3.40
Sr: 0.3750 0.3575 0.7500  2 Sr 3.05, 2 Ta 3.18, 2 Zr 3.40
Sr: 0.8750 0.8925 0.7500  2 Sr 3.05, 2 Ta 3.18, 2 Zr 3.40
Zr: 0.5000 0.5000 0.0000  2 Ta 3.03
Zr: 0.2500 0.7500 0.5000  2 Ta 3.03
Ta: 0.0000 0.0000 0.0000  2 Zr 3.03, 4 Sr 3.18
Ta: 0.7500 0.2500 0.5000  2 Zr 3.03, 4 Sr 3.18

Values from the calculation:
V, Å³ per cell: 248.0
Raw total energy, eV per atom: -4.5785
Space-group type: I-42d (122)
N(E_F), states/eV/cell: 10.3
Total magnetic moment, μB per atom: 0.255

---

No. 2
# TlAg4Sn

TlAg4Sn after structural relaxation (PBE-GGA, Alexandria via LeMat-Bulk).

Cell lengths 5.6655, 5.6655, 5.6655 Å; angles 60.00, 60.00, 60.00 degrees
Last column: nearest neighbours and their distance in Å.
Positions (direct):
Tl: 0.2500 0.2500 0.2500  12 Ag 3.32, 4 Sn 3.47
Sn: 0.0000 0.0000 0.0000  12 Ag 3.32, 4 Tl 3.47
Ag: 0.6251 0.6251 0.1246  6 Ag 2.83-2.84
Ag: 0.6251 0.1246 0.6251  6 Ag 2.83-2.84
Ag: 0.6251 0.6251 0.6251  6 Ag 2.83-2.84
Ag: 0.1246 0.6251 0.6251  6 Ag 2.83-2.84

Values from the calculation:
V, Å³ per cell: 128.6
Raw total energy, eV per atom: -2.8576
Space-group type: F-43m (216)
N(E_F), states/eV/cell: 5.3
Total magnetic moment, μB per atom: 0.000

---

No. 3
# VRuS

VRuS after structural relaxation (PBE-GGA, Alexandria via LeMat-Bulk).

Cell lengths 2.9122, 3.9962, 3.9962 Å; angles 120.00, 90.00, 90.00 degrees
Last column: nearest neighbours and their distance in Å.
Positions (direct):
Ru: 0.1666 0.0000 0.0000  3 S 2.31
S: 0.1666 0.6667 0.3333  3 Ru 2.31
V: 0.6667 0.3333 0.6667  6 Ru 2.73, 6 S 2.73, 2 V 2.91

Values from the calculation:
V, Å³ per cell: 40.3
ΔE_f (raw), eV/atom: -0.250
Raw total energy, eV per atom: -7.7575
Space-group type: P-6m2 (187)
N(E_F), states/eV/cell: 2.3
Total magnetic moment, μB per atom: 0.000

---

No. 4
# CsUHgI6

CsUHgI6 after structural relaxation (PBE-GGA, Alexandria via LeMat-Bulk).

Cell lengths 9.2410, 9.2393, 7.5285 Å; angles 90.00, 89.99, 59.90 degrees
Last column: nearest neighbours and their distance in Å.
Positions (direct):
Cs: 0.6664 0.6663 0.5000  6 I 3.90
U: 0.3333 0.3334 0.5000  6 I 2.94
Hg: 0.0001 0.0002 0.0000  6 I 4.02
I: 0.0771 0.3302 0.2713  1 U 2.94
I: 0.3301 0.0771 0.7285  1 U 2.94
I: 0.5927 0.3302 0.7287  1 U 2.94
I: 0.0762 0.5937 0.7279  1 U 2.94
I: 0.3303 0.5928 0.2714  1 U 2.94
I: 0.5936 0.0762 0.2721  1 U 2.94

Values from the calculation:
V, Å³ per cell: 556.1
ΔE_f (raw), eV/atom: -0.855
Raw total energy, eV per atom: -3.2713
Space-group type: C2 (5)
Total magnetic moment, μB per atom: 0.111

---

No. 5
# LaCr2Mo

LaCr2Mo after structural relaxation (PBE-GGA, Alexandria via LeMat-Bulk).

Cell lengths 5.7700, 5.7700, 5.7700 Å; angles 149.95, 132.61, 57.14 degrees
Last column: nearest neighbours and their distance in Å.
Positions (direct):
Cr: 0.9448 0.9448 0.0000  2 Cr 2.18
Cr: 0.7887 0.2887 0.5000  2 Cr 2.18
La: 0.5216 0.5216 0.0000  6 Cr 2.87-3.09, 2 La 2.99, 2 Mo 3.18
Mo: 0.2449 0.7449 0.5000  6 Cr 2.79-3.08, 2 Mo 2.99

Values from the calculation:
V, Å³ per cell: 70.3
Raw total energy, eV per atom: -8.0338
Space-group type: Imm2 (44)
N(E_F), states/eV/cell: 4.7
Total magnetic moment, μB per atom: 0.000

---

No. 6
# ScCoSi2

ScCoSi2 after structural relaxation (PBE-GGA, Alexandria via LeMat-Bulk).

Cell lengths 4.8129, 4.8129, 4.8129 Å; angles 134.25, 134.25, 66.70 degrees
Last column: nearest neighbours and their distance in Å.
Positions (direct):
Co: 0.5000 0.5000 0.0000  8 Si 2.65-2.75, 4 Sc 2.75
Sc: 0.7500 0.2500 0.5000  8 Si 2.65-2.75, 4 Co 2.75
Si: 0.0000 0.0000 0.0000  4 Co 2.65, 4 Si 2.75, 4 Sc 2.75
Si: 0.2500 0.7500 0.5000  4 Sc 2.65, 4 Si 2.75, 4 Co 2.75

Values from the calculation:
V, Å³ per cell: 56.3
ΔE_f (raw), eV/atom: -0.329
Raw total energy, eV per atom: -6.4001
Space-group type: I-4m2 (119)
N(E_F), states/eV/cell: 2.5
Total magnetic moment, μB per atom: 0.000